# LiSbPb

A relaxed structure of LiSbPb (PBEsol, Alexandria via LeMat-Bulk).

Results
**Energy above the most stable polymorph in this dataset**: 0 meV/atom
**Raw formation energy**: -238 meV per atom
**Final energy**: -3.746 eV per atom
**Space group**: F-43m (216)

a = 4.727 Å, b = 4.727 Å, c = 4.727 Å
α = 60.00°, β = 60.00°, γ = 60.00°
Fractional positions:
Pb1 0.000 0.000 0.000
Sb1 0.500 0.500 0.500
Li1 0.250 0.250 0.250

# Li2Sb2Pb

A relaxed structure of Li2Sb2Pb (PBEsol, Alexandria via LeMat-Bulk).

Results
**Density of states at the Fermi level**: 1.0 states/eV/cell
**Energy above the most stable polymorph in this dataset**: 43 meV/atom
**Raw formation energy**: -252 meV per atom
**Final energy**: -3.661 eV per atom
**Space group**: I4/mmm (139)

a = 4.555 Å, b = 4.555 Å, c = 6.626 Å
α = 110.10°, β = 110.10°, γ = 90.00°
Fractional positions:
Pb1 0.000 0.000 0.000
Sb1 0.380 0.380 0.759
Sb2 0.620 0.620 0.241
Li1 0.250 0.750 0.500
Li2 0.750 0.250 0.500

# LiSb2Pb

A relaxed structure of LiSb2Pb (PBEsol, Alexandria via LeMat-Bulk).

Results
**Density of states at the Fermi level**: 1.6 states/eV/cell
**Raw formation energy**: -140 meV per atom
**Final energy**: -3.910 eV per atom
**Space group**: P4/mmm (123)

a = 4.015 Å, b = 4.015 Å, c = 6.383 Å
α = 90.00°, β = 90.00°, γ = 90.00°
Fractional positions:
Pb1 0.500 0.500 0.500
Sb1 0.000 0.000 0.779
Sb2 0.000 0.000 0.221
Li1 0.500 0.500 0.000

# LiSb2Pb

A relaxed structure of LiSb2Pb (PBEsol, Alexandria via LeMat-Bulk).

Results
**Density of states at the Fermi level**: 1.4 states/eV/cell
**Raw formation energy**: -119 meV per atom
**Final energy**: -3.889 eV per atom
**Space group**: Cm (8)

a = 3.345 Å, b = 5.604 Å, c = 6.426 Å
α = 115.53°, β = 105.09°, γ = 90.00°
Fractional positions:
Li1 0.501 0.611 0.002
Pb1 0.246 0.630 0.493
Sb1 0.996 0.118 0.991
Sb2 0.757 0.141 0.514

# LiScPb2

A relaxed structure of LiScPb2 (PBEsol, Alexandria via LeMat-Bulk).

Results
**Density of states at the Fermi level**: 3.0 states/eV/cell
**Energy above the most stable polymorph in this dataset**: 32 meV/atom
**Final energy**: -4.466 eV per atom
**Space group**: P4/mmm (123)

a = 3.278 Å, b = 3.278 Å, c = 8.729 Å
α = 90.00°, β = 90.00°, γ = 90.00°
Site moments in Bohr magnetons follow the coordinates.
Fractional positions:
Pb1 0.000 0.000 0.747  0.00
Pb2 0.000 0.000 0.253  0.00
Sc1 0.500 0.500 0.000  0.09
Li1 0.500 0.500 0.500  0.00

# LiScPb2

A relaxed structure of LiScPb2 (PBEsol, Alexandria via LeMat-Bulk).

Results
**Density of states at the Fermi level**: 2.6 states/eV/cell
**Energy above the most stable polymorph in this dataset**: 72 meV/atom
**Final energy**: -4.426 eV per atom
**Space group**: Imm2 (44)

a = 3.548 Å, b = 4.773 Å, c = 6.244 Å
α = 112.47°, β = 106.50°, γ = 90.00°
Fractional positions:
Pb1 0.994 0.994 0.988
Pb2 0.750 0.250 0.500
Sc1 0.501 0.501 0.002
Li1 0.255 0.755 0.510

- What is the formula in the fifth record?
  LiScPb2

Repeat the second record exactly.
# Li2Sb2Pb

A relaxed structure of Li2Sb2Pb (PBEsol, Alexandria via LeMat-Bulk).

Results
**Density of states at the Fermi level**: 1.0 states/eV/cell
**Energy above the most stable polymorph in this dataset**: 43 meV/atom
**Raw formation energy**: -252 meV per atom
**Final energy**: -3.661 eV per atom
**Space group**: I4/mmm (139)

a = 4.555 Å, b = 4.555 Å, c = 6.626 Å
α = 110.10°, β = 110.10°, γ = 90.00°
Fractional positions:
Pb1 0.000 0.000 0.000
Sb1 0.380 0.380 0.759
Sb2 0.620 0.620 0.241
Li1 0.250 0.750 0.500
Li2 0.750 0.250 0.500

- Among the records above, which one has the highest final energy?
  Li2Sb2Pb

- Which value of final energy does entry 3 give?
  -3.910 eV per atom